This record from Alexandria describes CdRe3 after structural relaxation. The functional is PBE.

Lattice parameters (Å, degrees): 2.805 2.805 9.602 81.60 98.40 120.00
Fractional positions:
Re  0.757  0.243  0.270
Re  0.500  0.500  0.500
Re  0.243  0.757  0.730
Cd  0.000  0.000  0.000

Summary:
formation energy = 0.27 eV per atom
calculated density = 17.28 g/cm3

=====

This record from Alexandria describes CdRe3 after structural relaxation. The functional is PBE.

Lattice parameters (Å, degrees): 4.944 4.944 4.944 90.00 90.00 90.00
Last column: magnetic moment on the atom in μB.
Fractional positions:
Cd  0.000  0.000  0.000  0.02
Re  0.500  0.000  0.000  1.31
Re  0.000  0.500  0.000  1.31
Re  0.000  0.000  0.500  1.31

Summary:
formation energy = 4.55 eV per atom
calculated density = 9.22 g/cm3

=====

This record from Alexandria describes Cd3Re after structural relaxation. The functional is PBE.

Lattice parameters (Å, degrees): 4.220 4.220 4.220 90.00 90.00 90.00
Last column: magnetic moment on the atom in μB.
Fractional positions:
Cd  0.000  0.000  0.000  -0.02
Cd  0.000  0.500  0.500  -0.02
Cd  0.500  0.000  0.500  -0.02
Re  0.500  0.500  0.000  0.98

Summary:
formation energy = 0.57 eV per atom
calculated density = 11.56 g/cm3

=====

| no. | offset from the most stable computed form (meV/atom) | M_tot (μB/cell) |
| --- | --- | --- |
| 1 | 0.6 | 0.00 |
| 2 | 4278.3 | 4.65 |
| 3 | 183.6 | 1.00 |